The following is a DFT calculation (PBE) of crystalline KPrP4O12 at its relaxed geometry.

Raw formation energy (meV/atom): -2448
Magnetization (μB per formula unit): 0.00

a b c (Å): 8.091 12.843 10.825
angles (deg): 90.00 110.52 90.00
Space group C2/c (No. 15)
Inequivalent atoms, fractional coordinates:
K 0.000 0.189 0.250
Pr 0.000 0.121 0.750
P 0.046 0.333 0.997
P 0.221 0.474 0.452
O 0.052 0.253 0.602
O 0.080 0.431 0.917
O 0.091 0.375 0.434
O 0.160 0.018 0.406
O 0.204 0.034 0.656
O 0.207 0.302 0.111